Density functional theory data (PBE) for crystalline PaAuI2 at its relaxed geometry.

Cell: 3.7214 3.7214 10.5022 Å, 79.80 79.80 60.00°
Last column: magnetic moment on the atom in μB.
Element x y z (fractional)
Pa  0.5000  0.5000  0.5000  0.41
Au  0.0000  0.0000  0.0000  0.01
I  0.9063  0.9063  0.2811  -0.01
I  0.0937  0.0937  0.7189  -0.01

Computed properties:
Formation energy (no corrections)   -14 kJ/mol of atoms
Magnetization   0.5 μB per formula unit
Crystal system   trigonal